4
Lattice="-1.619 0.227 -4.216 -4.419 -0.596 -0.754 -3.138 7.120 -0.847" Properties=species:S:1:pos:R:3 comment="SmYBi2 (GGA-PBE, relaxed)" sg="C2/m (12)" de_polymorph_ev_per_atom=0.000 ef_kj_per_mol_atoms=-87.9 pbc="T T T"
Sm 0.000 0.000 0.000
Y -4.588 3.376 -2.909
Bi -6.877 5.029 -4.367
Bi -2.299 1.722 -1.450

=====

7
Lattice="5.354 0.000 0.000 0.000 5.354 0.000 -2.677 -2.677 8.422" Properties=species:S:1:pos:R:3 comment="SmY4Bi2 (GGA-PBE, relaxed)" sg="I4/mmm (139)" ef_kj_per_mol_atoms=27.2 pbc="T T T"
Sm 0.000 0.000 0.000
Y 2.677 2.677 5.346
Y 0.000 0.000 3.075
Y 0.000 2.677 0.000
Y 2.677 0.000 0.000
Bi 2.677 2.677 2.260
Bi 0.000 0.000 6.162

=====

14
Lattice="9.203 0.000 0.000 4.601 7.970 0.000 4.601 2.657 6.296" Properties=species:S:1:pos:R:3 comment="SmY3Bi3 (GGA-PBE, relaxed)" sg="R-3 (148)" de_polymorph_ev_per_atom=0.080 ef_kj_per_mol_atoms=-67.3 pbc="T T T"
Sm 9.203 5.313 6.291
Sm 9.203 5.313 0.005
Y 10.393 8.549 4.742
Y 11.410 2.665 4.742
Y 5.806 4.726 4.742
Y 12.600 5.900 1.554
Y 6.996 7.961 1.554
Y 8.013 2.078 1.554
Bi 6.364 4.886 1.594
Bi 10.992 3.069 1.594
Bi 10.252 7.985 1.594
Bi 8.154 2.641 4.702
Bi 7.413 7.558 4.702
Bi 12.041 5.741 4.702

=====

6
Lattice="4.509 0.000 0.000 0.000 6.375 0.000 -2.255 -3.188 6.763" Properties=species:S:1:pos:R:3 comment="SmY2Bi3 (GGA-PBE, relaxed)" sg="Immm (71)" ef_kj_per_mol_atoms=-87.4 pbc="T T T"
Sm 1.127 1.594 3.381
Y 3.382 4.781 1.138
Y -1.127 -1.594 5.624
Bi 3.382 1.594 1.092
Bi -1.127 1.594 5.671
Bi 1.127 -1.594 3.381

=====

28
Lattice="-9.003 -0.025 2.880 2.820 -1.987 8.800 0.582 9.241 1.900" Properties=species:S:1:pos:R:3 comment="SmY3Bi3 (GGA-PBE, relaxed)" sg="P2_13 (198)" de_polymorph_ev_per_atom=0.000 ef_kj_per_mol_atoms=-75.0 pbc="T T T"
Sm 1.511 7.447 6.995
Sm -7.830 5.113 4.386
Sm -2.402 3.100 5.825
Sm -2.480 -1.203 9.954
Y -6.385 0.990 5.534
Y -5.177 6.682 12.554
Y -5.305 1.612 8.944
Y 0.897 1.334 8.354
Y -0.995 1.284 2.412
Y -0.188 4.619 9.453
Y 0.852 4.473 5.046
Y -1.913 7.228 4.058
Y -4.712 6.942 6.351
Y -3.800 4.904 9.214
Y -4.721 3.758 3.129
Y -2.154 -0.456 6.431
Bi -4.958 -1.249 7.634
Bi -4.932 0.267 11.784
Bi 2.459 4.276 7.752
Bi 0.446 1.351 5.229
Bi -1.648 4.361 2.764
Bi 0.839 7.483 10.323
Bi -7.790 7.588 6.709
Bi -1.540 5.962 6.926
Bi -3.705 0.621 3.906
Bi -5.173 6.877 3.221
Bi -5.433 3.861 6.439
Bi -2.164 1.971 8.793

=====

12
Lattice="-0.920 6.459 4.250 -0.412 -1.891 7.544 6.491 -0.333 4.292" Properties=species:S:1:pos:R:3 comment="SmY5Bi6 (GGA-PBE, relaxed)" sg="C2/m (12)" ef_kj_per_mol_atoms=-87.0 pbc="T T T"
Sm 0.000 0.000 0.000
Y 3.819 2.695 6.245
Y 2.034 -0.740 3.946
Y -0.666 2.284 5.897
Y 4.044 -1.483 7.890
Y 1.340 1.541 9.841
Bi 1.458 4.559 5.256
Bi 1.710 0.421 6.887
Bi -0.335 1.140 2.973
Bi -0.998 3.429 8.821
Bi 3.449 3.815 9.198
Bi 3.701 -0.323 10.830

=====

7
Lattice="-4.255 -0.147 0.898 0.912 -1.130 -6.407 1.160 -7.547 4.260" Properties=species:S:1:pos:R:3 comment="Sm2Y3Bi2 (GGA-PBE, relaxed)" sg="C2/m (12)" ef_kj_per_mol_atoms=-48.0 pbc="T T T"
Sm -2.777 -2.606 -3.043
Sm 0.594 -6.217 1.794
Y -2.127 -0.074 0.449
Y -1.911 -3.747 0.871
Y -0.272 -5.077 -2.120
Bi -1.992 -6.926 -0.032
Bi -0.191 -1.898 -1.217

=====

7
Lattice="-0.534 4.351 -3.167 -3.847 1.916 3.281 8.158 0.954 4.552" Properties=species:S:1:pos:R:3 comment="Sm4YBi2 (GGA-PBE, relaxed)" sg="I4/mmm (139)" ef_kj_per_mol_atoms=21.5 pbc="T T T"
Sm 1.601 5.730 2.986
Sm 2.176 1.491 1.681
Sm -1.924 0.958 1.641
Sm -0.267 2.175 -1.583
Y 0.000 0.000 0.000
Bi -0.586 4.233 1.297
Bi 4.363 2.988 3.370

=====

Per-record total moment, μB/f.u.: 0.0, 0.2, 0.0, 0.0, 0.0, 0.0, 0.0, 0.0